Compound: CsLiTc
Source: OQMD via LeMat-Bulk
Functional: PBE
Structure: relaxed

V, Å³/atom: 34.80
Energy relative to the lowest polymorph listed for this composition, meV/atom: 26
Magnetization, μB/f.u.: 3.0
Symmetry: F-43m (216)
VASP energy, eV per formula unit: -8.1

Geometry as CIF:
```
data_CsLiTc
_cell_length_a 5.286
_cell_length_b 5.286
_cell_length_c 5.286
_cell_angle_alpha 60.00
_cell_angle_beta 60.00
_cell_angle_gamma 60.00
_symmetry_space_group_name_H-M 'P 1'
_symmetry_Int_Tables_number 1
_symmetry_space_group_name_Hall 'P 1'
loop_
_atom_site_label
_atom_site_type_symbol
_atom_site_fract_x
_atom_site_fract_y
_atom_site_fract_z
Cs1 Cs 0.250 0.250 0.250
Li1 Li 0.750 0.750 0.750
Tc1 Tc 0.000 0.000 0.000
```